*1*
Below is a PBEsol-optimized structure of TlTc2Pb, with properties calculated at the meta-GGA SCAN level.

Summary:
V	74.24	Å³/f.u.

Cell lengths 6.0870, 8.9610, 3.0595 Å; angles 90.00, 117.17, 90.00 degrees
Space group C2/m (No. 12)
One atom of each set of equivalent atoms:
Tl  0.0000  0.0000  0.0000 (multiplicity 2)
Tc  0.2500  0.2500  0.5000 (multiplicity 4)
Pb  0.0000  0.5000  0.0000 (multiplicity 2)

---

*2*
Below is a PBEsol-optimized structure of TlTc2Pb, with properties calculated at the meta-GGA SCAN level.

Summary:
V	80.00	Å³/f.u.

Cell lengths 3.0377, 3.0377, 8.6691 Å; angles 90.00, 90.00, 90.00 degrees
Space group P4mm (No. 99)
One atom of each set of equivalent atoms:
Tl  0.0000  0.0000  0.0000 (multiplicity 1)
Tc  0.0000  0.0000  0.5996 (multiplicity 1)
Tc  0.5000  0.5000  0.7551 (multiplicity 1)
Pb  0.5000  0.5000  0.3479 (multiplicity 1)

---

Stability summary: most stable *2*, least stable *1*.

---

*1*
Below is a PBEsol-optimized structure of TlTc2Pb, with properties calculated at the meta-GGA SCAN level.

Summary:
V	74.18	Å³/f.u.

Cell lengths 3.1793, 4.4916, 5.1942 Å; angles 90.00, 90.00, 90.00 degrees
Space group Pmmm (No. 47)
One atom of each set of equivalent atoms:
Tl  0.0000  0.0000  0.0000 (multiplicity 1)
Tc  0.0000  0.5000  0.5000 (multiplicity 1)
Tc  0.5000  0.5000  0.0000 (multiplicity 1)
Pb  0.5000  0.0000  0.5000 (multiplicity 1)

---

*2*
Below is a PBEsol-optimized structure of TlTc2Pb, with properties calculated at the meta-GGA SCAN level.

Summary:
V	72.35	Å³/f.u.

Cell lengths 4.0387, 4.0387, 8.8713 Å; angles 90.00, 90.00, 90.00 degrees
Space group I-4m2 (No. 119)
One atom of each set of equivalent atoms:
Tl  0.0000  0.0000  0.0000 (multiplicity 2)
Tc  0.0000  0.0000  0.5000 (multiplicity 2)
Tc  0.0000  0.5000  0.7500 (multiplicity 2)
Pb  0.0000  0.5000  0.2500 (multiplicity 2)

---

Stability summary: most stable *1*, least stable *2*.

---

*1*
Below is a PBEsol-optimized structure of TlTcPb2, with properties calculated at the meta-GGA SCAN level.

Summary:
V	91.42	Å³/f.u.

Cell lengths 4.7390, 3.6121, 10.6818 Å; angles 90.00, 90.00, 90.00 degrees
Space group Amm2 (No. 38)
One atom of each set of equivalent atoms:
Tl  0.0000  0.0000  0.0000 (multiplicity 2)
Tc  0.5000  0.0000  0.1428 (multiplicity 2)
Pb  0.0000  0.0000  0.7261 (multiplicity 2)
Pb  0.5000  0.0000  0.4173 (multiplicity 2)

---

*2*
Below is a PBEsol-optimized structure of TlTcPb2, with properties calculated at the meta-GGA SCAN level.

Summary:
V	95.18	Å³/f.u.

Cell lengths 3.3149, 3.3156, 8.6597 Å; angles 90.00, 90.11, 90.00 degrees
Space group P2/m (No. 10)
One atom of each set of equivalent atoms:
Tl  0.0000  0.0000  0.0000 (multiplicity 1)
Tc  0.0000  0.0000  0.5000 (multiplicity 1)
Pb  0.4992  0.5000  0.3068 (multiplicity 2)

---

Stability summary: most stable *2*, least stable *1*.